Record 1
KCoNi2Pb: relaxed, GGA-PBE.

Geometry as POSCAR:
```
KCoNi2Pb
1.0
-3.3060 -1.2481 3.0800
3.4853 -1.2060 3.2524
-0.0701 4.3697 1.6955
Co Ni Pb K
1 2 1 1
Cartesian
0.0000 0.0000 0.0000
-1.6530 -0.6241 1.5400
-0.0351 2.1849 0.8477
1.7427 -0.6030 1.6262
0.0546 0.9578 4.0139
```

Calculated values
Magnetic moment in μB/atom: 0.6095
Volume in Å³/atom: 21.61
Energy of formation in eV per atom: 0.6845

Record 2
Pm5TmCu6: relaxed, GGA-PBE.

Geometry as POSCAR:
```
Pm5TmCu6
1.0
4.9450 -0.3199 0.8159
-0.0194 6.5114 2.6704
1.1613 0.2747 8.6143
Pm Cu Tm
5 6 1
Cartesian
4.0559 4.3088 8.0731
-0.0097 3.2557 1.3352
4.0714 1.0572 6.7272
2.0310 2.1574 4.0274
2.0154 5.4089 5.3733
1.5827 2.7560 7.0394
2.4574 4.8304 2.4566
4.5042 3.7102 5.0611
4.5147 0.3383 3.6830
3.6294 1.6358 9.6440
1.5722 6.1278 8.4175
0.0000 0.0000 0.0000
```

Calculated values
Magnetic moment in μB/atom: 0.0000
Volume in Å³/atom: 22.21
Energy of formation in eV per atom: -0.1825

Record 3
Rb2NbF7: relaxed, GGA-PBE.

Geometry as POSCAR:
```
Rb2NbF7
1.0
6.6832 0.0000 0.0000
0.0000 6.6832 0.0000
3.3416 3.3416 4.7263
F Nb Rb
7 1 2
Cartesian
6.6832 6.6832 1.9408
1.3722 1.3722 0.0000
1.3722 5.3110 0.0000
3.3416 3.3416 2.7856
5.3110 5.3110 0.0000
3.3416 3.3416 0.0000
5.3110 1.3722 0.0000
0.0000 0.0000 0.0000
3.3416 6.6832 2.3632
6.6832 3.3416 2.3632
```

Calculated values
Magnetic moment in μB/atom: 0.0000
Volume in Å³/atom: 21.11
Energy relative to the lowest polymorph listed for this composition in eV/f.u.: 3.17
Raw formation energy in eV/atom: -2.7436

Record 4
Sr4Cu3ClO6: relaxed, GGA-PBE.

Geometry as POSCAR:
```
Sr4Cu3ClO6
1.0
-3.8493 3.8493 3.8493
3.8493 -3.8493 3.8493
3.8493 3.8493 -3.8493
Sr Cu O Cl
4 3 6 1
Cartesian
1.9246 -1.9246 1.9246
1.9246 1.9246 -1.9246
1.9246 1.9246 1.9246
-1.9246 1.9246 1.9246
0.0000 0.0000 3.8493
3.8493 0.0000 0.0000
0.0000 3.8493 0.0000
3.8493 0.0000 1.9246
0.0000 3.8493 1.9246
3.8493 1.9246 0.0000
1.9246 3.8493 0.0000
0.0000 1.9246 3.8493
1.9246 0.0000 3.8493
0.0000 0.0000 0.0000
```

Calculated values
Magnetic moment in μB/atom: 0.0000
Volume in Å³/atom: 16.30
Raw formation energy in eV/atom: -1.7332